Density functional theory data (PBE) for a relaxed structure of LiZnP4.

Computed properties:
DOS at the Fermi energy ... 1.26 states/eV/cell
ΔE_f ... 0.246 eV per atom
V ... 95 Å³/cell
Space-group type ... No. 216

Structure (extended XYZ):
```
6
Lattice="0.0000 3.6219 3.6219 3.6219 0.0000 3.6219 3.6219 3.6219 0.0000" Properties=species:S:1:pos:R:3 pbc="T T T"
Li 0.0000 0.0000 0.0000
Zn 1.8110 1.8110 1.8110
P 4.5024 2.7414 2.7414
P 2.7414 4.5024 2.7414
P 2.7414 2.7414 4.5024
P 4.5024 4.5024 4.5024
```